(1)
Here is CsOsO4 after structural relaxation from OQMD. Energies are from PBE-GGA.

Summary:
The calculation puts the final energy at -6.5888 eV/atom. For the total magnetization, the calculation gives 4.037 μB per cell.

abc: 5.684 5.835 14.203
angles: 90.00 90.00 90.00
Space group Pnma (No. 62)
Inequivalent atoms, fractional coordinates:
Cs: 0.026 0.250 0.125
Os: 0.037 0.750 0.379
O: 0.008 0.002 0.690
O: 0.161 0.250 0.526
O: 0.168 0.250 0.919



(2)
Here is TaAg2Sn after structural relaxation from OQMD. Energies are from PBE-GGA.

Summary:
The calculation puts the final energy at -4.9734 eV/atom. For the total magnetization, the calculation gives 3.301 μB per cell.

abc: 6.708 6.708 6.708
angles: 90.00 90.00 90.00
Space group F-43m (No. 216)
Inequivalent atoms, fractional coordinates:
Ta: 0.000 0.000 0.000
Ag: 0.000 0.000 0.500
Ag: 0.250 0.250 0.250
Sn: 0.250 0.250 0.750



(3)
Here is Ho2GeAu after structural relaxation from OQMD. Energies are from PBE-GGA.

Summary:
The calculation puts the final energy at -5.1332 eV/atom. For the total magnetization, the calculation gives 0.004 μB per cell.

abc: 4.294 4.010 10.879
angles: 90.00 90.00 90.00
Space group Amm2 (No. 38)
Inequivalent atoms, fractional coordinates:
Ho: 0.000 0.000 0.000
Ho: 0.500 0.000 0.278
Ge: 0.000 0.000 0.726
Au: 0.500 0.000 0.553



(4)
Here is Y2Tm3Lu2Ni2Te2 after structural relaxation from OQMD. Energies are from PBE-GGA.

Summary:
For the total magnetization, the calculation gives 0.079 μB per cell. For the energy above the lowest structure with this stoichiometry, the calculation gives 0.003 eV/atom.

abc: 3.826 15.411 9.520
angles: 90.00 90.00 90.00
Space group Imm2 (No. 44)
Inequivalent atoms, fractional coordinates:
Y: 0.000 0.132 0.000
Tm: 0.000 0.000 0.581
Tm: 0.000 0.352 0.854
Lu: 0.000 0.315 0.201
Ni: 0.000 0.235 0.511
Te: 0.000 0.000 0.249
Te: 0.000 0.500 0.342



(5)
Here is Cu5Si2Ni after structural relaxation from OQMD. Energies are from PBE-GGA.

Summary:
The calculation puts the final energy at -4.4111 eV/atom. For the total magnetization, the calculation gives 0.005 μB per cell.

abc: 4.039 4.039 5.717
angles: 90.00 90.00 90.00
Space group P4/mmm (No. 123)
Inequivalent atoms, fractional coordinates:
Cu: 0.000 0.000 0.000
Cu: 0.000 0.500 0.250
Si: 0.000 0.000 0.500
Si: 0.500 0.500 0.000
Ni: 0.500 0.500 0.500



(6)
Here is Er3SiSe2 after structural relaxation from OQMD. Energies are from PBE-GGA.

Summary:
The calculation puts the final energy at -5.8381 eV/atom. For the total magnetization, the calculation gives 0.010 μB per cell.

abc: 4.074 5.716 12.243
angles: 90.00 90.00 90.00
Space group Immm (No. 71)
Inequivalent atoms, fractional coordinates:
Er: 0.000 0.000 0.000
Er: 0.000 0.000 0.343
Si: 0.000 0.500 0.000
Se: 0.000 0.500 0.330



(7)
Here is YTm2Mg3Al2Cd after structural relaxation from OQMD. Energies are from PBE-GGA.

Summary:
The calculation puts the final energy at -3.4660 eV/atom. For the total magnetization, the calculation gives 0.010 μB per cell.

abc: 4.511 12.824 7.359
angles: 90.00 90.00 90.00
Space group Amm2 (No. 38)
Inequivalent atoms, fractional coordinates:
Y: 0.000 0.000 0.000
Tm: 0.000 0.216 0.647
Mg: 0.500 0.000 0.678
Mg: 0.500 0.123 0.309
Al: 0.500 0.168 0.931
Cd: 0.000 0.000 0.435



(8)
Here is Hf2TcBi after structural relaxation from OQMD. Energies are from PBE-GGA.

Summary:
The calculation puts the final energy at -8.3653 eV/atom. For the total magnetization, the calculation gives 3.396 μB per cell.

abc: 6.855 6.855 6.855
angles: 90.00 90.00 90.00
Space group F-43m (No. 216)
Inequivalent atoms, fractional coordinates:
Hf: 0.000 0.000 0.000
Hf: 0.250 0.250 0.250
Tc: 0.250 0.250 0.750
Bi: 0.000 0.000 0.500



(9)
Here is BeAsPdO after structural relaxation from OQMD. Energies are from PBE-GGA.

Summary:
For the energy above the lowest structure with this stoichiometry, the calculation gives 0.000 eV/atom.

abc: 2.852 6.842 5.964
angles: 90.00 90.00 90.00
Space group Pmc2_1 (No. 26)
Inequivalent atoms, fractional coordinates:
Be: 0.000 0.040 0.000
As: 0.000 0.315 0.482
Pd: 0.500 0.424 0.150
O: 0.500 0.103 0.006



(10)
Here is CdGeSb2 after structural relaxation from OQMD. Energies are from PBE-GGA.

Summary:
The calculation puts the final energy at -3.1805 eV/atom.

abc: 7.365 7.365 7.365
angles: 90.00 90.00 90.00
Space group F-43m (No. 216)
Inequivalent atoms, fractional coordinates:
Cd: 0.000 0.000 0.000
Ge: 0.250 0.250 0.750
Sb: 0.000 0.000 0.500
Sb: 0.250 0.250 0.250



(11)
Here is CsPuIn after structural relaxation from OQMD. Energies are from PBE-GGA.

Summary:
The calculation puts the final energy at -5.2167 eV/atom. For the total magnetization, the calculation gives 25.327 μB per cell.

abc: 7.960 7.960 7.960
angles: 90.00 90.00 90.00
Space group F-43m (No. 216)
Inequivalent atoms, fractional coordinates:
Cs: 0.000 0.000 0.000
Pu: 0.250 0.250 0.250
In: 0.000 0.000 0.500



(12)
Here is Tb2In8Fe after structural relaxation from OQMD. Energies are from PBE-GGA.

Summary:
The calculation puts the final energy at -3.8517 eV/atom. For the total magnetization, the calculation gives 0.644 μB per cell.

abc: 4.589 4.589 12.294
angles: 90.00 90.00 90.00
Space group P4/mmm (No. 123)
Inequivalent atoms, fractional coordinates:
Tb: 0.000 0.000 0.193
In: 0.000 0.500 0.000
In: 0.000 0.500 0.382
In: 0.500 0.500 0.192
Fe: 0.000 0.000 0.500



(13)
Here is GdDyNb2Ge2 after structural relaxation from OQMD. Energies are from PBE-GGA.

Summary:
The calculation puts the final energy at -7.0862 eV/atom. For the total magnetization, the calculation gives 1.167 μB per cell.

abc: 4.034 4.034 7.910
angles: 90.00 90.00 90.00
Space group P4mm (No. 99)
Inequivalent atoms, fractional coordinates:
Gd: 0.000 0.000 0.000
Dy: 0.500 0.500 0.295
Nb: 0.000 0.500 0.646
Ge: 0.000 0.000 0.402
Ge: 0.500 0.500 0.891



(14)
Here is TbYZn2Sn2 after structural relaxation from OQMD. Energies are from PBE-GGA.

Summary:
For the total magnetization, the calculation gives 0.003 μB per cell. For the energy above the lowest structure with this stoichiometry, the calculation gives 0.000 eV/atom.

abc: 4.5119 4.5119 15.8247
angles: 90.00 90.00 120.00
Space group P6_3/mmc (No. 194)
Inequivalent atoms, fractional coordinates:
Tb: 0.0000 0.0000 0.2500
Y: 0.0000 0.0000 0.0000
Zn: 0.3333 0.6667 0.1591
Sn: 0.3333 0.6667 0.6137



(15)
Here is HoMg after structural relaxation from OQMD. Energies are from PBE-GGA.

Summary:
The calculation puts the final energy at -3.1329 eV/atom. For the total magnetization, the calculation gives 0.124 μB per cell.

abc: 5.335 3.768 5.339
angles: 90.00 90.00 90.00
Space group Pmma (No. 51)
Inequivalent atoms, fractional coordinates:
Ho: 0.250 0.000 0.246
Mg: 0.250 0.500 0.745



(16)
Here is TaTlCd after structural relaxation from OQMD. Energies are from PBE-GGA.

Summary:
For the total magnetization, the calculation gives 0.028 μB per cell. For the energy above the lowest structure with this stoichiometry, the calculation gives 0.000 eV/atom.

abc: 4.9422 4.9422 8.8945
angles: 90.00 90.00 120.00
Space group P3m1 (No. 156)
Inequivalent atoms, fractional coordinates:
Ta: 0.0000 0.0000 0.0000
Ta: 0.0000 0.0000 0.3311
Ta: 0.0000 0.0000 0.6662
Tl: 0.3333 0.6667 0.4955
Tl: 0.3333 0.6667 0.8411
Tl: 0.6667 0.3333 0.1631
Cd: 0.3333 0.6667 0.1685
Cd: 0.6667 0.3333 0.5022
Cd: 0.6667 0.3333 0.8243



(17)
Here is DyCo3 after structural relaxation from OQMD. Energies are from PBE-GGA.

Summary:
The formation enthalpy at 0 K is 0.146 eV/atom. For the total magnetization, the calculation gives 3.493 μB per cell. For the energy above the lowest structure with this stoichiometry, the calculation gives 0.321 eV/atom.

abc: 3.850 3.850 3.850
angles: 90.00 90.00 90.00
Space group Pm-3m (No. 221)
Inequivalent atoms, fractional coordinates:
Dy: 0.000 0.000 0.000
Co: 0.000 0.500 0.500



(18)
Here is SmYNi2B2N2 after structural relaxation from OQMD. Energies are from PBE-GGA.

Summary:
The calculation puts the final energy at -7.5893 eV/atom. For the total magnetization, the calculation gives 0.005 μB per cell.

abc: 3.539 3.539 7.550
angles: 90.00 90.00 90.00
Space group P4mm (No. 99)
Inequivalent atoms, fractional coordinates:
Sm: 0.000 0.000 0.000
Y: 0.500 0.500 0.338
Ni: 0.000 0.500 0.669
B: 0.000 0.000 0.514
B: 0.500 0.500 0.830
N: 0.000 0.000 0.321
N: 0.500 0.500 0.025



(19)
Here is InPt6S2 after structural relaxation from OQMD. Energies are from PBE-GGA.

Summary:
The calculation puts the final energy at -5.3845 eV/atom. For the total magnetization, the calculation gives 0.001 μB per cell.

abc: 3.977 3.977 11.233
angles: 90.00 90.00 90.00
Space group P4/mmm (No. 123)
Inequivalent atoms, fractional coordinates:
In: 0.000 0.000 0.000
Pt: 0.000 0.500 0.186
Pt: 0.500 0.500 0.000
Pt: 0.500 0.500 0.500
S: 0.500 0.500 0.306



(20)
Here is Cs3FeCl after structural relaxation from OQMD. Energies are from PBE-GGA.

Summary:
The calculation puts the final energy at -2.5949 eV/atom. For the total magnetization, the calculation gives 3.220 μB per cell.

abc: 6.669 6.669 6.669
angles: 90.00 90.00 90.00
Space group Pm-3m (No. 221)
Inequivalent atoms, fractional coordinates:
Cs: 0.000 0.000 0.500
Fe: 0.500 0.500 0.500
Cl: 0.000 0.000 0.000



(21)
Here is LiLuZnCo after structural relaxation from OQMD. Energies are from PBE-GGA.

Summary:
For the total magnetization, the calculation gives 0.072 μB per cell. For the energy above the lowest structure with this stoichiometry, the calculation gives 0.000 eV/atom.

abc: 6.282 6.282 6.282
angles: 90.00 90.00 90.00
Space group F-43m (No. 216)
Inequivalent atoms, fractional coordinates:
Li: 0.000 0.000 0.000
Lu: 0.250 0.250 0.750
Zn: 0.250 0.250 0.250
Co: 0.000 0.000 0.500



(22)
Here is InTcIr2 after structural relaxation from OQMD. Energies are from PBE-GGA.

Summary:
The calculation puts the final energy at -7.4079 eV/atom. For the total magnetization, the calculation gives 0.047 μB per cell.

abc: 6.342 6.342 6.342
angles: 90.00 90.00 90.00
Space group F-43m (No. 216)
Inequivalent atoms, fractional coordinates:
In: 0.000 0.000 0.000
Tc: 0.250 0.250 0.250
Ir: 0.000 0.000 0.500
Ir: 0.250 0.250 0.750



(23)
Here is DyEr2Tm after structural relaxation from OQMD. Energies are from PBE-GGA.

Summary:
The formation enthalpy at 0 K is 0.001 eV/atom. For the total magnetization, the calculation gives 0.077 μB per cell.

abc: 7.139 12.365 5.562
angles: 90.00 90.00 90.00
Space group Cmcm (No. 63)
Inequivalent atoms, fractional coordinates:
Dy: 0.000 0.167 0.250
Er: 0.249 0.417 0.250
Tm: 0.000 0.334 0.750



(24)
Here is BaLiTcOs after structural relaxation from OQMD. Energies are from PBE-GGA.

Summary:
For the total magnetization, the calculation gives 0.118 μB per cell. For the energy above the lowest structure with this stoichiometry, the calculation gives 0.000 eV/atom.

abc: 6.694 6.694 6.694
angles: 90.00 90.00 90.00
Space group F-43m (No. 216)
Inequivalent atoms, fractional coordinates:
Ba: 0.000 0.000 0.000
Li: 0.250 0.250 0.750
Tc: 0.250 0.250 0.250
Os: 0.000 0.000 0.500



(25)
Here is TbDyCu2I2 after structural relaxation from OQMD. Energies are from PBE-GGA.

Summary:
The calculation puts the final energy at -4.0672 eV/atom. For the total magnetization, the calculation gives 0.006 μB per cell.

abc: 4.1094 4.1094 11.9663
angles: 90.00 90.00 120.00
Space group P3m1 (No. 156)
Inequivalent atoms, fractional coordinates:
Tb: 0.0000 0.0000 0.0000
Dy: 0.0000 0.0000 0.3098
Cu: 0.3333 0.6667 0.1583
Cu: 0.6667 0.3333 0.1536
I: 0.3333 0.6667 0.8233
I: 0.6667 0.3333 0.4856



(26)
Here is TaBiPO after structural relaxation from OQMD. Energies are from PBE-GGA.

Summary:
For the total magnetization, the calculation gives 0.021 μB per cell. For the energy above the lowest structure with this stoichiometry, the calculation gives 0.185 eV/atom.

abc: 3.536 7.628 6.270
angles: 90.00 90.00 90.00
Space group Pmc2_1 (No. 26)
Inequivalent atoms, fractional coordinates:
Ta: 0.000 0.192 0.000
Bi: 0.500 0.390 0.377
P: 0.000 0.116 0.380
O: 0.500 0.219 0.876